1.
Material: BaNaAg3
Method: DFT, PBE
State: optimized geometry

abc: 6.284 6.284 6.284
angles: 90.00 90.00 90.00
Fractional coordinates of all 5 atoms:
Ag1 0.000 0.500 0.000
Ag2 0.500 0.000 0.000
Ag3 0.000 0.000 0.500
Ba1 0.000 0.000 0.000
Na1 0.500 0.500 0.500

## Properties
* DFT formation energy: 0.565 eV/atom
* distance to the lowest polymorph of the same formula: 0.714 eV per atom
* electronic total energy: -1.795 eV per atom
* N(E_F): 0.00 states/eV/cell
* density: 3.24 g cm⁻³

***

2.
Material: Ba8NaAg4
Method: DFT, PBE
State: optimized geometry

abc: 4.944 12.095 10.975
angles: 88.65 76.98 78.21
Fractional coordinates of all 13 atoms:
Ba1 0.175 0.737 0.913
Ba2 0.877 0.960 0.286
Ba3 0.162 0.321 0.356
Ba4 0.856 0.266 0.021
Ba5 0.870 0.682 0.578
Ba6 0.447 0.391 0.715
Ba7 0.585 0.612 0.219
Ba8 0.154 0.043 0.648
Na1 0.516 0.002 0.967
Ag1 0.245 0.469 0.041
Ag2 0.664 0.179 0.493
Ag3 0.786 0.534 0.893
Ag4 0.368 0.824 0.440

## Properties
* DFT formation energy: -0.142 eV/atom
* electronic total energy: -2.304 eV per atom
* N(E_F): 11.81 states/eV/cell
* density: 4.12 g cm⁻³

***

3.
Material: BaNa2Ag
Method: DFT, PBE
State: optimized geometry

abc: 4.119 4.119 8.342
angles: 90.00 90.00 90.00
Fractional coordinates of all 4 atoms:
Na1 0.000 0.000 0.822
Na2 0.000 0.000 0.178
Ba1 0.500 0.500 0.500
Ag1 0.500 0.500 0.000

## Properties
* DFT formation energy: 0.066 eV/atom
* distance to the lowest polymorph of the same formula: 0.161 eV per atom
* electronic total energy: -1.787 eV per atom
* N(E_F): 3.44 states/eV/cell
* density: 3.42 g cm⁻³

***

4.
Material: BaNa2Ag2
Method: DFT, PBE
State: optimized geometry

abc: 8.932 8.932 3.559
angles: 90.00 90.00 90.00
Fractional coordinates of all 10 atoms:
Na1 0.118 0.382 0.000
Na2 0.618 0.118 0.000
Na3 0.882 0.618 0.000
Na4 0.382 0.882 0.000
Ba1 0.000 0.000 0.000
Ba2 0.500 0.500 0.000
Ag1 0.819 0.319 0.500
Ag2 0.319 0.181 0.500
Ag3 0.181 0.681 0.500
Ag4 0.681 0.819 0.500

## Properties
* DFT formation energy: -0.017 eV/atom
* distance to the lowest polymorph of the same formula: 0.118 eV per atom
* electronic total energy: -2.070 eV per atom
* N(E_F): 5.69 states/eV/cell
* density: 4.67 g cm⁻³

***

5.
Material: Ba2NaAg2
Method: DFT, PBE
State: optimized geometry

abc: 4.554 4.918 8.814
angles: 106.20 90.00 90.00
Fractional coordinates of all 5 atoms:
Ag1 0.000 0.798 0.597
Ag2 0.000 0.202 0.403
Ba1 0.500 0.359 0.719
Ba2 0.500 0.641 0.281
Na1 0.000 0.000 0.000

## Properties
* DFT formation energy: -0.218 eV/atom
* distance to the lowest polymorph of the same formula: 0.006 eV per atom
* electronic total energy: -2.391 eV per atom
* N(E_F): 2.84 states/eV/cell
* density: 4.50 g cm⁻³

***

6.
Material: BaNaAg2
Method: DFT, PBE
State: optimized geometry

abc: 4.017 5.515 5.515
angles: 90.00 90.00 90.00
Fractional coordinates of all 4 atoms:
Ag1 0.000 0.500 0.000
Ag2 0.000 0.000 0.500
Na1 0.500 0.000 0.000
Ba1 0.500 0.500 0.500

## Properties
* DFT formation energy: -0.078 eV/atom
* distance to the lowest polymorph of the same formula: 0.097 eV per atom
* electronic total energy: -2.314 eV per atom
* N(E_F): 1.42 states/eV/cell
* density: 5.11 g cm⁻³

***

7.
Material: Ba5Na2Ag2
Method: DFT, PBE
State: optimized geometry

abc: 9.049 9.049 11.238
angles: 90.00 66.26 90.00
Fractional coordinates of all 18 atoms:
Na1 0.724 0.500 0.552
Na2 0.776 0.000 0.448
Na3 0.276 0.500 0.448
Na4 0.224 0.000 0.552
Ba1 0.293 0.677 0.768
Ba2 0.939 0.323 0.768
Ba3 0.793 0.823 0.768
Ba4 0.061 0.677 0.232
Ba5 0.561 0.823 0.232
Ba6 0.707 0.323 0.232
Ba7 0.207 0.177 0.232
Ba8 0.500 0.500 0.000
Ba9 0.000 0.000 0.000
Ba10 0.439 0.177 0.768
Ag1 0.117 0.384 0.000
Ag2 0.383 0.884 0.000
Ag3 0.617 0.116 0.000
Ag4 0.883 0.616 0.000

## Properties
* DFT formation energy: -0.102 eV/atom
* electronic total energy: -2.097 eV per atom
* N(E_F): 15.59 states/eV/cell
* density: 3.74 g cm⁻³

***

8.
Material: BaNaAg2
Method: DFT, PBE
State: optimized geometry

abc: 5.411 5.411 10.521
angles: 75.10 75.10 90.00
Fractional coordinates of all 8 atoms:
Na1 0.250 0.750 0.500
Na2 0.500 0.500 0.000
Ba1 0.750 0.250 0.500
Ba2 0.000 0.000 0.000
Ag1 0.376 0.125 0.250
Ag2 0.375 0.624 0.750
Ag3 0.875 0.626 0.750
Ag4 0.374 0.625 0.250

## Properties
* DFT formation energy: 0.048 eV/atom
* distance to the lowest polymorph of the same formula: 0.222 eV per atom
* electronic total energy: -2.188 eV per atom
* N(E_F): 4.52 states/eV/cell
* density: 4.35 g cm⁻³

***

9.
Material: Ba2NaAg
Method: DFT, PBE
State: optimized geometry

abc: 4.845 4.845 10.178
angles: 76.23 76.23 60.00
Fractional coordinates of all 4 atoms:
Ag1 0.666 0.666 0.002
Ba1 0.269 0.269 0.192
Ba2 0.064 0.064 0.809
Na1 0.501 0.501 0.497

## Properties
* DFT formation energy: -0.074 eV/atom
* distance to the lowest polymorph of the same formula: 0.058 eV per atom
* electronic total energy: -2.078 eV per atom
* N(E_F): 2.83 states/eV/cell
* density: 3.38 g cm⁻³

***

10.
Material: BaNa3Ag
Method: DFT, PBE
State: optimized geometry

abc: 7.012 5.775 9.309
angles: 90.00 75.36 90.04
Fractional coordinates of all 10 atoms:
Na1 0.514 0.926 0.964
Na2 0.865 0.927 0.640
Na3 0.014 0.426 0.464
Na4 0.392 0.927 0.410
Na5 0.892 0.427 0.910
Na6 0.365 0.427 0.140
Ba1 0.931 0.926 0.181
Ba2 0.431 0.426 0.681
Ag1 0.176 0.926 0.810
Ag2 0.676 0.426 0.310

## Properties
* DFT formation energy: -0.039 eV/atom
* distance to the lowest polymorph of the same formula: 0.000 eV per atom
* electronic total energy: -1.785 eV per atom
* N(E_F): 4.38 states/eV/cell
* density: 2.86 g cm⁻³

***

11.
Material: Ba2Na2Ag15
Method: DFT, PBE
State: optimized geometry

abc: 7.526 7.526 7.526
angles: 82.60 82.60 82.60
Fractional coordinates of all 19 atoms:
Ag1 0.000 0.301 0.699
Ag2 0.500 0.000 0.000
Ag3 0.345 0.842 0.345
Ag4 0.655 0.158 0.655
Ag5 0.655 0.655 0.158
Ag6 0.158 0.655 0.655
Ag7 0.699 0.301 0.000
Ag8 0.699 0.000 0.301
Ag9 0.000 0.500 0.000
Ag10 0.345 0.345 0.842
Ag11 0.000 0.000 0.500
Ag12 0.842 0.345 0.345
Ag13 0.000 0.699 0.301
Ag14 0.301 0.699 0.000
Ag15 0.301 0.000 0.699
Ba1 0.655 0.655 0.655
Ba2 0.345 0.345 0.345
Na1 0.095 0.095 0.095
Na2 0.905 0.905 0.905

## Properties
* DFT formation energy: -0.116 eV/atom
* electronic total energy: -2.709 eV per atom
* N(E_F): 5.90 states/eV/cell
* density: 7.73 g cm⁻³